Compound: MoPtNO2
Source: Alexandria
Functional: PBE with a Hubbard U
Structure: relaxed

Lattice parameters (Å, degrees): 3.8356 3.8356 4.1841 90.00 90.00 90.00
With the nearest neighbours (Å) after each atom.
Atoms (fractional coordinates):
Mo 0.0000 0.0000 0.0000  4 O 1.92, 2 N 2.09
Pt 0.5000 0.5000 0.5000  4 N 2.71, 8 O 2.84
N 0.0000 0.0000 0.5000  2 Mo 2.09
O 0.0000 0.5000 0.0000  2 Mo 1.92
O 0.5000 0.0000 0.0000  2 Mo 1.92

Summary:
For the calculated total energy, the calculation gives -0.445 Ry/atom. The space group is P4/mmm. The crystal system is tetragonal.